A plane-wave DFT calculation with PBE-GGA was carried out for a geometry-optimized MgScB structure.

Cell: 3.173 3.173 11.496 Å, 90.00 90.00 120.00°
Element x y z (fractional)
Mg1 0.333 0.667 0.114
Mg2 0.667 0.333 0.886
Sc1 0.000 0.000 0.351
Sc2 0.000 0.000 0.649
B1 0.333 0.667 0.499
B2 0.667 0.333 0.501

Properties
- Symmetry: No. 164
- N(E_F): 4.89 states/eV per cell
- Energy above the most stable polymorph in this dataset: 0 meV per atom
- DFT total energy: -31.76 eV/cell
- ΔE_f: -0.425 eV per atom